Ba2UCdAs6 | PBE | relaxed

abc: 7.958 7.793 6.594
angles: 61.74 58.90 85.01
Positions (direct):
As (0.708, 0.213, 0.028)
As (0.299, 0.340, 0.546)
As (0.292, 0.787, 0.972)
As (0.249, 0.306, 0.954)
As (0.701, 0.660, 0.454)
As (0.751, 0.694, 0.046)
Cd (0.000, 0.000, 0.000)
Ba (0.274, 0.815, 0.468)
Ba (0.726, 0.185, 0.532)
U (0.500, 0.500, 0.000)

Values from the calculation:
Theoretical density, g/cm3: 5.9
V, Å³/cell: 301.6
Energy relative to the elements, meV/atom: -441



LaTl5Se4 | PBE | relaxed

abc: 4.435 8.743 9.960
angles: 112.92 102.86 90.00
Positions (direct):
Tl (0.847, 0.196, 0.694)
Tl (0.195, 0.315, 0.390)
Tl (0.805, 0.685, 0.610)
Tl (0.500, 0.500, 0.000)
Tl (0.153, 0.804, 0.306)
La (0.500, 0.000, 0.000)
Se (0.967, 0.744, 0.934)
Se (0.033, 0.256, 0.066)
Se (0.337, 0.950, 0.673)
Se (0.663, 0.050, 0.327)

Values from the calculation:
Theoretical density, g/cm3: 7.1
V, Å³/cell: 345.2
Uncorrected formation energy, eV/atom: -0.797



TbThAsN | PBE | relaxed

abc: 4.388 4.388 9.303
angles: 90.00 90.00 90.00
Positions (direct):
Tb (0.000, 0.000, 0.500)
Tb (0.500, 0.500, 0.500)
Th (0.000, 0.500, 0.891)
Th (0.500, 0.000, 0.109)
N (0.000, 0.000, 0.000)
N (0.500, 0.500, 0.000)
As (0.000, 0.500, 0.301)
As (0.500, 0.000, 0.699)

Values from the calculation:
Theoretical density, g/cm3: 8.9
V, Å³/cell: 179.1
Uncorrected formation energy, eV/atom: -1.231



GaCu3Mo | PBE | relaxed

abc: 4.315 4.315 4.315
angles: 90.00 90.00 90.00
Positions (direct):
Mo (0.500, 0.500, 0.500)
Cu (0.000, 0.500, 0.000)
Cu (0.500, 0.000, 0.000)
Cu (0.000, 0.000, 0.500)
Ga (0.000, 0.000, 0.000)

Values from the calculation:
Energy above the lowest structure with this stoichiometry, eV per atom: 0.000
Theoretical density, g/cm3: 7.4
V, Å³/cell: 80.4
Energy relative to the elements, meV/atom: 1047



PPb | PBE | relaxed

abc: 9.221 9.221 9.221
angles: 26.37 26.37 26.37
Positions (direct):
P (0.041, 0.041, 0.041)
P (0.959, 0.959, 0.959)
Pb (0.578, 0.578, 0.578)
Pb (0.422, 0.422, 0.422)

Values from the calculation:
Theoretical density, g/cm3: 5.8
V, Å³/cell: 136.3
Energy relative to the elements, meV/atom: 105



LiNd2Rh | PBE | relaxed

abc: 5.103 5.103 5.103
angles: 60.00 60.00 60.00
Positions (direct):
Rh (0.750, 0.750, 0.750)
Nd (0.500, 0.500, 0.500)
Nd (0.000, 0.000, 0.000)
Li (0.250, 0.250, 0.250)

Values from the calculation:
Theoretical density, g/cm3: 7.0
V, Å³/cell: 94.0
Energy relative to the elements, meV/atom: -344



TaSbPdF2 | PBE | relaxed

abc: 4.066 5.535 4.066
angles: 90.00 90.00 90.00
Positions (direct):
Sb (0.500, 0.500, 0.500)
F (0.500, 0.000, 0.000)
F (0.000, 0.000, 0.500)
Ta (0.000, 0.500, 0.000)
Pd (0.000, 0.000, 0.000)

Values from the calculation:
Theoretical density, g/cm3: 8.1
V, Å³/cell: 91.5
Uncorrected formation energy, eV/atom: -0.328



Al4IrRu3 | PBE | relaxed

abc: 3.005 4.252 8.502
angles: 90.00 90.00 90.00
Positions (direct):
Al (0.000, 0.500, 0.748)
Al (0.000, 0.500, 0.252)
Al (0.000, 0.000, 0.500)
Al (0.000, 0.000, 0.000)
Ru (0.500, 0.500, 0.500)
Ru (0.500, 0.000, 0.249)
Ru (0.500, 0.000, 0.751)
Ir (0.500, 0.500, 0.000)

Values from the calculation:
Theoretical density, g/cm3: 9.2
V, Å³/cell: 108.6
Energy relative to the elements, meV/atom: -766



Number 3 is which compound?
TbThAsN



Repeat the first record exactly.
Ba2UCdAs6 | PBE | relaxed

abc: 7.958 7.793 6.594
angles: 61.74 58.90 85.01
Positions (direct):
As (0.708, 0.213, 0.028)
As (0.299, 0.340, 0.546)
As (0.292, 0.787, 0.972)
As (0.249, 0.306, 0.954)
As (0.701, 0.660, 0.454)
As (0.751, 0.694, 0.046)
Cd (0.000, 0.000, 0.000)
Ba (0.274, 0.815, 0.468)
Ba (0.726, 0.185, 0.532)
U (0.500, 0.500, 0.000)

Values from the calculation:
Theoretical density, g/cm3: 5.9
V, Å³/cell: 301.6
Energy relative to the elements, meV/atom: -441



Repeat the eighth record exactly.
Al4IrRu3 | PBE | relaxed

abc: 3.005 4.252 8.502
angles: 90.00 90.00 90.00
Positions (direct):
Al (0.000, 0.500, 0.748)
Al (0.000, 0.500, 0.252)
Al (0.000, 0.000, 0.500)
Al (0.000, 0.000, 0.000)
Ru (0.500, 0.500, 0.500)
Ru (0.500, 0.000, 0.249)
Ru (0.500, 0.000, 0.751)
Ir (0.500, 0.500, 0.000)

Values from the calculation:
Theoretical density, g/cm3: 9.2
V, Å³/cell: 108.6
Energy relative to the elements, meV/atom: -766